# Pm2VO6

A relaxed Pm2VO6 crystal (GGA+U, Alexandria).

Computed properties:
D(E_F) = 6.52 states/eV/cell
VASP energy = -7.761 eV per atom

Cell and atoms, written as POSCAR:
```
Pm2VO6
1.0
-5.1397 1.3489 -1.1343
-1.9744 -5.1468 2.8256
0.4158 3.4147 6.5101
Pm O V
4 12 2
Cartesian
-2.4459 0.9685 1.3963 Pm
-5.4050 1.7936 4.9388 Pm
-1.2933 -2.1768 3.2626 Pm
-4.2524 -1.3517 6.8051 Pm
-2.6190 0.2526 6.0992 O
-3.7040 2.0853 3.1944 O
-6.1864 -2.8389 3.4071 O
-3.3319 2.8581 5.9891 O
-5.6459 -0.6446 4.7823 O
-2.9943 -2.4685 5.0070 O
-0.5119 2.4557 4.7943 O
-3.3664 -3.2413 2.2124 O
-1.0524 0.2614 3.4192 O
-1.7522 -1.3658 1.0936 O
-4.0793 -0.6358 2.1023 O
-4.9461 0.9826 7.1078 O
0.2079 1.7073 3.2551 V
-3.5570 -1.8989 0.8456 V
```